Arrangement w

This record from the Alexandria database describes ZrVCo4 after structural relaxation. The functional is PBE.

Unit cell a=3.8023 b=15.7314 c=5.2342 alpha=90.00 beta=90.00 gamma=90.00
With the nearest neighbours (Å) after each atom.
Space group Cmcm (No. 63)
Symmetry-distinct sites (fractional):
Zr 0.0000 0.0890 0.2500 [4 per cell]  11 Co 2.62-2.70
V 0.0000 0.2318 0.7500 [4 per cell]  7 Co 2.26-2.50
Co 0.0000 0.0814 0.7500 [4 per cell]  1 V 2.37, 8 Co 2.53-2.64, 2 Zr 2.62
Co 0.0000 0.3411 0.0312 [8 per cell]  3 V 2.26-2.50, 4 Co 2.29-2.53
Co 0.0000 0.5000 0.0000 [4 per cell]  8 Co 2.50-2.64, 4 Zr 2.70

Output
- Fermi-level density of states: 21.74 states/eV per cell

---

Arrangement x

This record from the Alexandria database describes ZrVCo4 after structural relaxation. The functional is PBE.

Unit cell a=6.7574 b=6.7574 c=6.7574 alpha=90.00 beta=90.00 gamma=90.00
With the nearest neighbours (Å) after each atom.
Space group F-43m (No. 216)
Symmetry-distinct sites (fractional):
Zr 0.0000 0.0000 0.0000 [4 per cell]  12 Co 2.80, 4 V 2.93
V 0.2500 0.2500 0.2500 [4 per cell]  12 Co 2.80, 4 Zr 2.93
Co 0.1243 0.1243 0.6243 [16 per cell]  6 Co 2.38-2.40

Output
- Fermi-level density of states: 37.93 states/eV per cell

---

Tell me which of them is the least stable. Sure, it is arrangement w.

---

Arrangement w

This record from the Alexandria database describes ZrVCo2 after structural relaxation. The functional is PBE.

Unit cell a=6.1221 b=6.1221 c=6.1221 alpha=90.00 beta=90.00 gamma=90.00
With the nearest neighbours (Å) after each atom.
Space group Fm-3m (No. 225)
Symmetry-distinct sites (fractional):
Zr 0.0000 0.0000 0.0000 [4 per cell]  8 Co 2.65
V 0.0000 0.0000 0.5000 [4 per cell]  8 Co 2.65
Co 0.2500 0.2500 0.2500 [8 per cell]  4 Zr 2.65, 4 V 2.65

Output
- Fermi-level density of states: 20.61 states/eV per cell

---

Arrangement x

This record from the Alexandria database describes ZrVCo2 after structural relaxation. The functional is PBE.

Unit cell a=4.0501 b=4.0501 c=15.5955 alpha=90.00 beta=90.00 gamma=90.00
With the nearest neighbours (Å) after each atom.
Space group I-42d (No. 122)
Symmetry-distinct sites (fractional):
Zr 0.0000 0.0000 0.0000 [4 per cell]  4 Co 2.57, 4 V 2.86
V 0.0000 0.0000 0.5000 [4 per cell]  4 Co 2.30
Co 0.1700 0.2500 0.6250 [8 per cell]  2 V 2.30, 2 Co 2.45, 2 Zr 2.57

Output
- Fermi-level density of states: 21.38 states/eV per cell

---

Tell me which of them is the least stable. Sure, it is arrangement x.

---

Arrangement w

This record from the Alexandria database describes ZrVCo2 after structural relaxation. The functional is PBE.

Unit cell a=5.9759 b=4.1796 c=9.0822 alpha=90.00 beta=90.00 gamma=90.00
With the nearest neighbours (Å) after each atom.
Space group Pnma (No. 62)
Symmetry-distinct sites (fractional):
Zr 0.2254 0.2500 0.1667 [4 per cell]  6 Co 2.60-2.91, 3 V 2.89-2.91
V 0.0564 0.7500 0.3821 [4 per cell]  5 Co 2.29-2.43
Co 0.0470 0.2500 0.8686 [4 per cell]  2 V 2.36-2.37, 3 Co 2.48-2.59
Co 0.2327 0.2500 0.4531 [4 per cell]  3 V 2.29-2.43, 1 Co 2.48

Output
- Fermi-level density of states: 13.51 states/eV per cell

---

Arrangement x

This record from the Alexandria database describes ZrVCo2 after structural relaxation. The functional is PBE.

Unit cell a=4.2910 b=4.2910 c=3.1106 alpha=90.00 beta=90.00 gamma=90.00
With the nearest neighbours (Å) after each atom.
Space group P4/mmm (No. 123)
Symmetry-distinct sites (fractional):
Zr 0.0000 0.0000 0.0000 [1 per cell]  8 Co 2.65
V 0.5000 0.5000 0.0000 [1 per cell]  8 Co 2.65
Co 0.0000 0.5000 0.5000 [2 per cell]  4 V 2.65, 4 Zr 2.65

Output
- Fermi-level density of states: 4.96 states/eV per cell

---

Arrangement y

This record from the Alexandria database describes ZrVCo2 after structural relaxation. The functional is PBE.

Unit cell a=2.8923 b=2.8923 c=6.6508 alpha=90.00 beta=90.00 gamma=90.00
With the nearest neighbours (Å) after each atom.
Space group P4/mmm (No. 123)
Symmetry-distinct sites (fractional):
Zr 0.0000 0.0000 0.0000 [1 per cell]  8 Co 2.87, 4 Zr 2.89
V 0.0000 0.0000 0.5000 [1 per cell]  8 Co 2.43
Co 0.5000 0.5000 0.3018 [2 per cell]  4 V 2.43, 1 Co 2.64

Output
- Fermi-level density of states: 3.82 states/eV per cell

---

Tell me which of them is the least stable. Sure, it is arrangement x.